The following is a PBE calculation of a geometry-optimized Nd4Er8Sc3 structure, from Alexandria.

Geometry as extended XYZ:
```
15
Lattice="6.644 -0.086 -0.124 -3.178 8.454 1.178 -3.178 -1.830 8.337" Properties=species:S:1:pos:R:3 pbc="T T T"
Er 1.976 4.690 6.737
Er 0.144 0.811 6.406
Sc 0.144 3.269 4.695
Er 1.739 1.761 2.530
Er 0.144 5.726 2.985
Sc 1.733 -0.958 4.106
Er -3.178 4.760 3.749
Sc 1.733 4.184 0.527
Nd -1.589 -0.915 4.168
Er -1.450 4.776 6.861
Er -3.178 1.863 5.766
Er -1.687 1.847 2.653
Nd 3.322 -0.043 -0.062
Nd 0.000 0.000 0.000
Nd -1.589 4.227 0.589
```

Results
E_form ... 526 kJ/mol of formula units